VASP calculation (PBE+U) on crystalline MnSIO2 at its relaxed geometry.

Cell: 3.8334 3.8334 6.6463 Å, 90.00 90.00 90.00°
Positions (direct):
Mn (0.0000, 0.0000, 0.0000)
S (0.5000, 0.5000, 0.5000)
I (0.5000, 0.5000, 0.0000)
O (0.0000, 0.5000, 0.5000)
O (0.5000, 0.0000, 0.5000)

Results
total DFT energy (no corrections): -4.36 eV/atom